Entry from the Alexandria database: an optimized crystal structure of RbAl2In2 (PBE-GGA).

It has space group I4/mmm (No. 139), with a = 4.670 Å, b = 4.670 Å, c = 12.682 Å, α = 90.00°, β = 90.00° and γ = 90.00°. The inequivalent atoms are Rb at (0.000, 0.000, 0.000), Al at (0.000, 0.500, 0.250) and In at (0.000, 0.000, 0.381).

The formation energy comes out at 0.03 eV per atom. The value obtained for the magnetic moment is 0.00 μB per cell.


Entry from the Alexandria database: an optimized crystal structure of TaSn2Au (PBE-GGA).

It has space group R-3m (No. 166, hexagonal axes), with a = 3.1850 Å, b = 3.1850 Å, c = 30.6507 Å, α = 90.00°, β = 90.00° and γ = 120.00°. The inequivalent atoms are Ta at (0.0000, 0.0000, 0.0000), Sn at (0.0000, 0.0000, 0.0921) and Au at (0.0000, 0.0000, 0.5000).

The formation energy comes out at 0.44 eV per atom. The value obtained for the magnetic moment is 0.00 μB per cell.


Entry from the Alexandria database: an optimized crystal structure of CePr4Hg5 (PBE-GGA).

It has space group P4/mmm (No. 123), with a = 3.864 Å, b = 3.864 Å, c = 19.282 Å, α = 90.00°, β = 90.00° and γ = 90.00°. The inequivalent atoms are Ce at (0.000, 0.000, 0.000), Pr at (0.000, 0.000, 0.199), Pr at (0.000, 0.000, 0.400), Hg at (0.500, 0.500, 0.098), Hg at (0.500, 0.500, 0.299) and Hg at (0.500, 0.500, 0.500).

The formation energy comes out at -0.43 eV per atom. The value obtained for the magnetic moment is 3.27 μB per cell.